(1)
The following is a GGA-PBE calculation of a relaxed Tb2Dy6Zr crystal, from Alexandria.

## Properties
As for the symmetry: No. 187. The calculation puts the formation energy at 0.7 eV per formula unit. As for the crystal system: hexagonal.

Cell lengths 3.5292, 3.5292, 25.8542 Å; angles 90.00, 90.00, 120.00 degrees
Last column: nearest neighbours and their distance in Å.
Fractional coordinates of all 9 atoms:
Tb 0.0000 0.0000 0.1751  6 Dy 3.48-3.54, 6 Tb 3.53
Tb 0.0000 0.0000 0.8249  6 Dy 3.48-3.54, 6 Tb 3.53
Dy 0.0000 0.0000 0.3996  3 Zr 3.30, 9 Dy 3.53-3.55
Dy 0.0000 0.0000 0.6004  3 Zr 3.30, 9 Dy 3.53-3.55
Dy 0.6667 0.3333 0.0661  7 Dy 3.42-3.53, 3 Tb 3.48
Dy 0.6667 0.3333 0.2871  9 Dy 3.53-3.55, 3 Tb 3.54
Dy 0.6667 0.3333 0.7129  9 Dy 3.53-3.55, 3 Tb 3.54
Dy 0.6667 0.3333 0.9339  7 Dy 3.42-3.53, 3 Tb 3.48
Zr 0.6667 0.3333 0.5000  6 Dy 3.30, 6 Zr 3.53

(2)
The following is a GGA-PBE calculation of a relaxed AcTa2GaO8 crystal, from Alexandria.

## Properties
As for the symmetry: No. 12. The uncorrected formation energy comes out at -2654 meV per atom. As for the crystal system: monoclinic.

Cell lengths 4.9631, 4.9631, 6.8190 Å; angles 91.60, 91.60, 83.08 degrees
Last column: nearest neighbours and their distance in Å.
Fractional coordinates of all 12 atoms:
Ac 0.0000 0.0000 0.0000  6 O 2.45-2.50
Ta 0.4630 0.4630 0.7243  4 O 1.87-1.96
Ta 0.5370 0.5370 0.2757  4 O 1.87-1.96
Ga 0.0000 0.0000 0.5000  4 O 1.96
O 0.1941 0.7745 0.2952  1 Ta 1.96, 1 Ga 1.96
O 0.2255 0.8059 0.7048  1 Ta 1.96, 1 Ga 1.96
O 0.3077 0.3077 0.5028  1 Ta 1.87
O 0.3327 0.3327 0.9587  1 Ta 1.90
O 0.6673 0.6673 0.0413  1 Ta 1.90
O 0.6923 0.6923 0.4972  1 Ta 1.87
O 0.7745 0.1941 0.2952  1 Ta 1.96, 1 Ga 1.96
O 0.8059 0.2255 0.7048  1 Ta 1.96, 1 Ga 1.96

(3)
The following is a GGA-PBE calculation of a relaxed AcCeCdSb crystal, from Alexandria.

## Properties
As for the symmetry: No. 216. The uncorrected formation energy comes out at -486 meV per atom. As for the crystal system: cubic.

Cell lengths 7.9224, 7.9224, 7.9224 Å; angles 90.00, 90.00, 90.00 degrees
Last column: nearest neighbours and their distance in Å.
Fractional coordinates of all 16 atoms:
Ac 0.0000 0.0000 0.0000  4 Cd 3.43, 4 Sb 3.43
Ac 0.0000 0.5000 0.5000  4 Cd 3.43, 4 Sb 3.43
Ac 0.5000 0.0000 0.5000  4 Cd 3.43, 4 Sb 3.43
Ac 0.5000 0.5000 0.0000  4 Cd 3.43, 4 Sb 3.43
Ce 0.0000 0.0000 0.5000  4 Sb 3.43, 4 Cd 3.43
Ce 0.0000 0.5000 0.0000  4 Sb 3.43, 4 Cd 3.43
Ce 0.5000 0.0000 0.0000  4 Sb 3.43, 4 Cd 3.43
Ce 0.5000 0.5000 0.5000  4 Sb 3.43, 4 Cd 3.43
Cd 0.2500 0.2500 0.7500  4 Ce 3.43, 4 Ac 3.43
Cd 0.2500 0.7500 0.2500  4 Ce 3.43, 4 Ac 3.43
Cd 0.7500 0.2500 0.2500  4 Ce 3.43, 4 Ac 3.43
Cd 0.7500 0.7500 0.7500  4 Ac 3.43, 4 Ce 3.43
Sb 0.2500 0.2500 0.2500  4 Ac 3.43, 4 Ce 3.43
Sb 0.2500 0.7500 0.7500  4 Ac 3.43, 4 Ce 3.43
Sb 0.7500 0.2500 0.7500  4 Ac 3.43, 4 Ce 3.43
Sb 0.7500 0.7500 0.2500  4 Ac 3.43, 4 Ce 3.43

(4)
The following is a GGA-PBE calculation of a relaxed Be3CuSb crystal, from Alexandria.

## Properties
As for the symmetry: No. 221. The uncorrected formation energy comes out at 1460 meV per atom. As for the crystal system: cubic.

Cell lengths 4.6338, 4.6338, 4.6338 Å; angles 90.00, 90.00, 90.00 degrees
Last column: nearest neighbours and their distance in Å.
Fractional coordinates of all 5 atoms:
Be 0.0000 0.0000 0.5000  2 Sb 2.32
Be 0.0000 0.5000 0.0000  2 Sb 2.32
Be 0.5000 0.0000 0.0000  2 Sb 2.32
Cu 0.5000 0.5000 0.5000  12 Be 3.28
Sb 0.0000 0.0000 0.0000  6 Be 2.32

(5)
The following is a GGA-PBE calculation of a relaxed LaCeDy2Se4 crystal, from Alexandria.

## Properties
As for the symmetry: No. 139. The uncorrected formation energy comes out at -1807 meV per atom. As for the crystal system: tetragonal.

Cell lengths 5.9012, 5.9012, 11.7999 Å; angles 90.00, 90.00, 90.00 degrees
Last column: nearest neighbours and their distance in Å.
Fractional coordinates of all 16 atoms:
La 0.0000 0.0000 0.0000  6 Se 2.95-2.98
La 0.5000 0.5000 0.5000  6 Se 2.95-2.98
Ce 0.0000 0.0000 0.5000  6 Se 2.92-2.95
Ce 0.5000 0.5000 0.0000  6 Se 2.92-2.95
Dy 0.0000 0.5000 0.2500  6 Se 2.95
Dy 0.0000 0.5000 0.7500  6 Se 2.95
Dy 0.5000 0.0000 0.2500  6 Se 2.95
Dy 0.5000 0.0000 0.7500  6 Se 2.95
Se 0.0000 0.0000 0.2526  1 Ce 2.92, 4 Dy 2.95, 1 La 2.98
Se 0.0000 0.0000 0.7474  1 Ce 2.92, 4 Dy 2.95, 1 La 2.98
Se 0.0000 0.5000 0.0000  2 Dy 2.95, 2 La 2.95, 2 Ce 2.95
Se 0.0000 0.5000 0.5000  2 Dy 2.95, 2 La 2.95, 2 Ce 2.95
Se 0.5000 0.0000 0.0000  2 Dy 2.95, 2 La 2.95, 2 Ce 2.95
Se 0.5000 0.0000 0.5000  2 Dy 2.95, 2 La 2.95, 2 Ce 2.95
Se 0.5000 0.5000 0.2474  1 Ce 2.92, 4 Dy 2.95, 1 La 2.98
Se 0.5000 0.5000 0.7526  1 Ce 2.92, 4 Dy 2.95, 1 La 2.98

(6)
The following is a GGA-PBE calculation of a relaxed Ac2InHg4 crystal, from Alexandria.

## Properties
As for the symmetry: No. 166. The calculation puts the formation energy at -2.6 eV per formula unit. As for the crystal system: trigonal.

Cell lengths 8.4596, 8.4596, 8.4596 Å; angles 38.54, 38.54, 38.54 degrees
Last column: nearest neighbours and their distance in Å.
Fractional coordinates of all 7 atoms:
Ac 0.2284 0.2284 0.2284  7 Hg 3.32-3.60, 3 In 3.53
Ac 0.7716 0.7716 0.7716  7 Hg 3.32-3.60, 3 In 3.53
In 0.5000 0.5000 0.5000  2 Hg 3.05
Hg 0.0681 0.0681 0.0681  4 Hg 3.19-3.31, 3 Ac 3.34
Hg 0.3701 0.3701 0.3701  1 In 3.05, 3 Hg 3.31, 1 Ac 3.32
Hg 0.6299 0.6299 0.6299  1 In 3.05, 3 Hg 3.31, 1 Ac 3.32
Hg 0.9319 0.9319 0.9319  4 Hg 3.19-3.31, 3 Ac 3.34

(7)
The following is a GGA-PBE calculation of a relaxed Al2OsO crystal, from Alexandria.

## Properties
As for the symmetry: No. 122. The uncorrected formation energy comes out at -722 meV per atom. As for the crystal system: tetragonal.

Cell lengths 5.6978, 5.6978, 6.5979 Å; angles 90.00, 90.00, 90.00 degrees
Last column: nearest neighbours and their distance in Å.
Fractional coordinates of all 16 atoms:
Al 0.1632 0.7500 0.1250  2 O 1.89
Al 0.2500 0.1632 0.8750  2 O 1.89
Al 0.2500 0.3368 0.3750  2 O 1.89
Al 0.3368 0.7500 0.6250  2 O 1.89
Al 0.6632 0.2500 0.6250  2 O 1.89
Al 0.7500 0.6632 0.3750  2 O 1.89
Al 0.7500 0.8368 0.8750  2 O 1.89
Al 0.8368 0.2500 0.1250  2 O 1.89
Os 0.0000 0.0000 0.5000  4 Al 2.53
Os 0.0000 0.5000 0.7500  4 Al 2.53
Os 0.5000 0.0000 0.2500  4 Al 2.53
Os 0.5000 0.5000 0.0000  4 Al 2.53
O 0.0000 0.0000 0.0000  4 Al 1.89
O 0.0000 0.5000 0.2500  4 Al 1.89
O 0.5000 0.0000 0.7500  4 Al 1.89
O 0.5000 0.5000 0.5000  4 Al 1.89

(8)
The following is a GGA-PBE calculation of a relaxed LiIn2Ga2 crystal, from Alexandria.

## Properties
As for the symmetry: No. 139. The calculation puts the formation energy at 0.0 eV per formula unit. As for the crystal system: tetragonal.

Cell lengths 4.3661, 4.3661, 12.6069 Å; angles 90.00, 90.00, 90.00 degrees
Last column: nearest neighbours and their distance in Å.
Fractional coordinates of all 10 atoms:
Li 0.0000 0.0000 0.0000  8 In 3.39
Li 0.5000 0.5000 0.5000  8 In 3.39
In 0.0000 0.0000 0.3893  1 In 2.79, 4 Ga 2.80
In 0.0000 0.0000 0.6107  1 In 2.79, 4 Ga 2.80
In 0.5000 0.5000 0.1107  1 In 2.79, 4 Ga 2.80
In 0.5000 0.5000 0.8893  1 In 2.79, 4 Ga 2.80
Ga 0.0000 0.5000 0.2500  4 In 2.80, 4 Ga 3.09
Ga 0.0000 0.5000 0.7500  4 In 2.80, 4 Ga 3.09
Ga 0.5000 0.0000 0.2500  4 In 2.80, 4 Ga 3.09
Ga 0.5000 0.0000 0.7500  4 In 2.80, 4 Ga 3.09

| no. | E (eV/atom) | total magnetization (Bohr magnetons per cell) |
| --- | --- | --- |
| 1 | -4.97 | 0.5 |
| 2 | -8.53 | 0.0 |
| 3 | -4.26 | 6.6 |
| 4 | -2.42 | 0.0 |
| 5 | -6.06 | 2.5 |
| 6 | -2.10 | 0.0 |
| 7 | -6.64 | 0.0 |
| 8 | -2.69 | 0.0 |